Li2Ca3Si4: relaxed, PBE-GGA.

Cell: 6.035 6.035 8.642 Å, 104.83 104.83 39.58°
Sites, in units of the cell vectors:
Li 0.182 0.182 0.350
Li 0.818 0.818 0.650
Ca 0.125 0.125 0.696
Ca 0.500 0.500 0.000
Ca 0.875 0.875 0.304
Si 0.219 0.219 0.060
Si 0.427 0.427 0.574
Si 0.573 0.573 0.426
Si 0.781 0.781 0.940

Uncorrected formation energy   -0.371 eV per atom



LiCaSi2: relaxed, PBE-GGA.

Cell: 6.002 6.002 4.296 Å, 110.86 110.86 35.87°
Sites, in units of the cell vectors:
Li 0.000 0.000 0.000
Ca 0.245 0.245 0.747
Si 0.497 0.497 0.498
Si 0.858 0.858 0.359

Relative energy among the computed polymorphs   129 meV per atom
Uncorrected formation energy   -0.279 eV per atom



Li2CaSi4: relaxed, PBE-GGA.

Cell: 10.192 10.192 10.192 Å, 22.12 22.12 22.12°
Sites, in units of the cell vectors:
Li 0.140 0.140 0.140
Li 0.860 0.860 0.860
Ca 0.000 0.000 0.000
Si 0.236 0.236 0.236
Si 0.401 0.401 0.401
Si 0.599 0.599 0.599
Si 0.764 0.764 0.764

Uncorrected formation energy   -0.210 eV per atom



LiCa6Si2: relaxed, PBE-GGA.

Cell: 8.983 8.983 8.983 Å, 112.77 110.46 105.28°
Sites, in units of the cell vectors:
Li 0.000 0.000 0.000
Li 0.500 0.500 0.000
Ca 0.129 0.820 0.309
Ca 0.219 0.316 0.535
Ca 0.219 0.684 0.903
Ca 0.259 0.050 0.790
Ca 0.259 0.469 0.210
Ca 0.488 0.180 0.309
Ca 0.512 0.820 0.691
Ca 0.741 0.531 0.790
Ca 0.741 0.950 0.210
Ca 0.781 0.316 0.097
Ca 0.781 0.684 0.465
Ca 0.871 0.180 0.691
Si 0.110 0.610 0.500
Si 0.500 0.132 0.632
Si 0.500 0.868 0.368
Si 0.890 0.390 0.500

Uncorrected formation energy   -0.249 eV per atom



LiCaSi2: relaxed, PBE-GGA.

Cell: 9.118 9.118 9.118 Å, 150.52 150.52 42.18°
Sites, in units of the cell vectors:
Li 0.000 0.000 0.000
Li 0.750 0.250 0.500
Ca 0.250 0.750 0.500
Ca 0.500 0.500 0.000
Si 0.375 0.073 0.198
Si 0.823 0.625 0.698
Si 0.875 0.177 0.802
Si 0.927 0.125 0.302

Relative energy among the computed polymorphs   379 meV per atom
Uncorrected formation energy   -0.029 eV per atom



Li2Ca2SmSi2: relaxed, PBE-GGA.

Cell: 10.585 10.585 10.585 Å, 24.27 24.27 24.27°
Sites, in units of the cell vectors:
Li 0.111 0.111 0.111
Li 0.889 0.889 0.889
Ca 0.383 0.383 0.383
Ca 0.617 0.617 0.617
Sm 0.500 0.500 0.500
Si 0.224 0.224 0.224
Si 0.776 0.776 0.776

Uncorrected formation energy   -0.380 eV per atom



SrLiCaSi: relaxed, PBE-GGA.

Cell: 5.318 5.318 5.318 Å, 60.00 60.00 60.00°
Sites, in units of the cell vectors:
Sr 0.000 0.000 0.000
Li 0.250 0.250 0.250
Ca 0.500 0.500 0.500
Si 0.750 0.750 0.750

Uncorrected formation energy   -0.226 eV per atom



LiCaTaSi: relaxed, PBE-GGA.

Cell: 4.645 4.645 5.749 Å, 112.66 112.66 51.21°
Sites, in units of the cell vectors:
Li 0.000 0.000 0.000
Ca 0.205 0.205 0.659
Ta 0.767 0.767 0.247
Si 0.457 0.457 0.259

Relative energy among the computed polymorphs   165 meV per atom
Uncorrected formation energy   0.235 eV per atom



LiCaTaSi: relaxed, PBE-GGA.

Cell: 5.959 5.959 5.959 Å, 150.61 135.01 54.65°
Sites, in units of the cell vectors:
Li 0.000 0.000 0.000
Ca 0.564 0.564 0.000
Ta 0.285 0.785 0.500
Si 0.809 0.309 0.500

Relative energy among the computed polymorphs   31 meV per atom
Uncorrected formation energy   0.101 eV per atom



LiCaTaSi: relaxed, PBE-GGA.

Cell: 4.557 2.990 5.290 Å, 90.00 90.30 90.00°
Sites, in units of the cell vectors:
Li 0.000 0.000 0.000
Ca 0.501 0.500 0.119
Ta 0.003 0.500 0.548
Si 0.503 0.000 0.613

Relative energy among the computed polymorphs   50 meV per atom
Uncorrected formation energy   0.120 eV per atom



LiCaTaSi: relaxed, PBE-GGA.

Cell: 3.588 6.092 6.092 Å, 36.02 90.00 90.00°
Sites, in units of the cell vectors:
Li 0.000 0.000 0.000
Ca 0.500 0.608 0.608
Ta 0.000 0.312 0.312
Si 0.500 0.854 0.854

Relative energy among the computed polymorphs   0 meV per atom
Uncorrected formation energy   0.070 eV per atom



LiCaTaSi: relaxed, PBE-GGA.

Cell: 4.834 5.270 5.270 Å, 33.65 90.00 90.00°
Sites, in units of the cell vectors:
Li 0.000 0.000 0.000
Ca 0.000 0.740 0.740
Ta 0.500 0.418 0.418
Si 0.500 0.145 0.145

Relative energy among the computed polymorphs   103 meV per atom
Uncorrected formation energy   0.173 eV per atom